Material: RbNaMnB2
Method: DFT, SCAN
State: single point on PBEsol structure

a = 4.8229 Å, b = 4.8229 Å, c = 4.9897 Å
α = 90.00°, β = 90.00°, γ = 90.00°
With the nearest neighbours (Å) after each atom.
Sites, in units of the cell vectors:
Rb  0.0000  0.0000  0.0000  4 Mn 3.41, 8 B 3.47
Na  0.5000  0.5000  0.5000  4 B 2.41, 2 Mn 2.49
Mn  0.5000  0.5000  0.0000  2 Na 2.49
B  0.0000  0.5000  0.5000  2 Na 2.41
B  0.5000  0.0000  0.5000  2 Na 2.41

Output
D(E_F) (states/eV per cell): 2.8
Spin magnetization (Bohr magnetons per cell): 3.60
E (eV per atom): -9.620
Energy of formation from the pure elements (meV/atom): 1994

Material: Mn2Ni21B6
Method: DFT, SCAN
State: single point on PBEsol structure

a = 7.3077 Å, b = 7.3077 Å, c = 7.3077 Å
α = 60.00°, β = 60.00°, γ = 60.00°
With the nearest neighbours (Å) after each atom.
Sites, in units of the cell vectors:
Mn  0.2500  0.2500  0.2500  4 Ni 2.37
Mn  0.7500  0.7500  0.7500  4 Ni 2.37
Ni  0.0000  0.0000  0.0000  12 Ni 2.48
Ni  0.0000  0.0000  0.3387  2 B 2.05
Ni  0.0000  0.0000  0.6613  2 B 2.05
Ni  0.0000  0.3387  0.0000  2 B 2.05
Ni  0.0000  0.3387  0.6613  2 B 2.05
Ni  0.0000  0.6613  0.0000  2 B 2.05
Ni  0.0000  0.6613  0.3387  2 B 2.05
Ni  0.1478  0.6174  0.6174  3 B 2.06
Ni  0.3387  0.0000  0.0000  2 B 2.05
Ni  0.3387  0.0000  0.6613  2 B 2.05
Ni  0.3387  0.6613  0.0000  2 B 2.05
Ni  0.3826  0.3826  0.3826  3 B 2.06
Ni  0.3826  0.3826  0.8522  3 B 2.06
Ni  0.3826  0.8522  0.3826  3 B 2.06
Ni  0.6174  0.1478  0.6174  3 B 2.06
Ni  0.6174  0.6174  0.1478  3 B 2.06
Ni  0.6174  0.6174  0.6174  3 B 2.06
Ni  0.6613  0.0000  0.0000  2 B 2.05
Ni  0.6613  0.0000  0.3387  2 B 2.05
Ni  0.6613  0.3387  0.0000  2 B 2.05
Ni  0.8522  0.3826  0.3826  3 B 2.06
B  0.2722  0.2722  0.7278  8 Ni 2.05-2.06
B  0.2722  0.7278  0.2722  8 Ni 2.05-2.06
B  0.2722  0.7278  0.7278  8 Ni 2.05-2.06
B  0.7278  0.2722  0.2722  8 Ni 2.05-2.06
B  0.7278  0.2722  0.7278  8 Ni 2.05-2.06
B  0.7278  0.7278  0.2722  8 Ni 2.05-2.06

Output
D(E_F) (states/eV per cell): 24.4
Spin magnetization (Bohr magnetons per cell): 12.66
E (eV per atom): -14.785
Energy of formation from the pure elements (meV/atom): -277

Material: MnB2O4
Method: DFT, SCAN
State: single point on PBEsol structure

a = 7.0774 Å, b = 7.4569 Å, c = 8.7819 Å
α = 90.00°, β = 94.22°, γ = 90.00°
With the nearest neighbours (Å) after each atom.
Sites, in units of the cell vectors:
Mn  0.0003  0.2128  0.1241  4 O 2.09-2.20
Mn  0.0003  0.2872  0.6241  4 O 2.09-2.20
Mn  0.9997  0.7128  0.3759  4 O 2.09-2.20
Mn  0.9997  0.7872  0.8759  4 O 2.09-2.20
Mn  0.4709  0.2410  0.6415  4 O 2.06-2.25
Mn  0.4709  0.2590  0.1415  4 O 2.06-2.25
Mn  0.5291  0.7410  0.8585  4 O 2.06-2.25
Mn  0.5291  0.7590  0.3585  4 O 2.06-2.25
B  0.1824  0.5677  0.1377  4 O 1.46-1.50
B  0.1824  0.9323  0.6377  4 O 1.46-1.50
B  0.2068  0.0629  0.3679  4 O 1.46-1.49
B  0.2068  0.4371  0.8679  4 O 1.46-1.49
B  0.3011  0.6007  0.6186  4 O 1.47-1.49
B  0.3011  0.8993  0.1186  4 O 1.47-1.49
B  0.3120  0.0977  0.8837  4 O 1.47-1.49
B  0.3120  0.4023  0.3837  4 O 1.47-1.49
B  0.6880  0.5977  0.6163  4 O 1.47-1.49
B  0.6880  0.9023  0.1163  4 O 1.47-1.49
B  0.6989  0.1007  0.8814  4 O 1.47-1.49
B  0.6989  0.3993  0.3814  4 O 1.47-1.49
B  0.7932  0.5629  0.1321  4 O 1.46-1.49
B  0.7932  0.9371  0.6321  4 O 1.46-1.49
B  0.8176  0.0677  0.3623  4 O 1.46-1.50
B  0.8176  0.4323  0.8623  4 O 1.46-1.50
O  0.0100  0.0022  0.3291  2 B 1.48-1.50
O  0.0100  0.4978  0.8291  2 B 1.48-1.50
O  0.1665  0.7484  0.5798  2 B 1.46-1.48
O  0.1665  0.7516  0.0798  2 B 1.46-1.48
O  0.2226  0.2475  0.3046  2 B 1.47-1.49
O  0.2226  0.2525  0.8046  2 B 1.47-1.49
O  0.2284  0.0594  0.0310  2 B 1.49
O  0.2284  0.4406  0.5310  2 B 1.49
O  0.2633  0.0591  0.5309  2 B 1.46-1.48
O  0.2633  0.4409  0.0309  2 B 1.46-1.48
O  0.2983  0.5631  0.2860  2 B 1.47-1.49
O  0.2983  0.9369  0.7860  2 B 1.47-1.49
O  0.3248  0.5587  0.7828  2 B 1.47
O  0.3248  0.9413  0.2828  2 B 1.47
O  0.4888  0.6568  0.5758  2 B 1.47-1.49
O  0.4888  0.8432  0.0758  2 B 1.47-1.49
O  0.5112  0.1568  0.9242  2 B 1.47-1.49
O  0.5112  0.3432  0.4242  2 B 1.47-1.49
O  0.6752  0.0587  0.7172  2 B 1.47
O  0.6752  0.4413  0.2172  2 B 1.47
O  0.7017  0.0631  0.2140  2 B 1.47-1.49
O  0.7017  0.4369  0.7140  2 B 1.47-1.49
O  0.7367  0.5591  0.9691  2 B 1.46-1.48
O  0.7367  0.9409  0.4691  2 B 1.46-1.48
O  0.7716  0.5594  0.4690  2 B 1.49
O  0.7716  0.9406  0.9690  2 B 1.49
O  0.7774  0.7475  0.1954  2 B 1.47-1.49
O  0.7774  0.7525  0.6954  2 B 1.47-1.49
O  0.8335  0.2484  0.9202  2 B 1.46-1.48
O  0.8335  0.2516  0.4202  2 B 1.46-1.48
O  0.9900  0.5022  0.1709  2 B 1.48-1.50
O  0.9900  0.9978  0.6709  2 B 1.48-1.50

Output
Formation energy without anion corrections (meV per atom): -2470
D(E_F) (states/eV per cell): 0.0
Spin magnetization (Bohr magnetons per cell): 40.00
E (eV per atom): -10.761

Material: Mn2BO4
Method: DFT, SCAN
State: single point on PBEsol structure

a = 3.2358 Å, b = 9.3783 Å, c = 9.8167 Å
α = 90.00°, β = 108.98°, γ = 90.00°
With the nearest neighbours (Å) after each atom.
Sites, in units of the cell vectors:
Mn  0.0822  0.1006  0.3118  5 O 1.99-2.14
Mn  0.0822  0.3994  0.8118  5 O 1.99-2.14
Mn  0.3077  0.6160  0.5700  4 O 1.94-2.05
Mn  0.3077  0.8840  0.0700  4 O 1.94-2.05
Mn  0.6923  0.1160  0.9300  4 O 1.94-2.05
Mn  0.6923  0.3840  0.4300  4 O 1.94-2.05
Mn  0.9178  0.6006  0.1882  5 O 1.99-2.14
Mn  0.9178  0.8994  0.6882  5 O 1.99-2.14
B  0.4249  0.1662  0.6255  3 O 1.37-1.39
B  0.4249  0.3338  0.1255  3 O 1.37-1.39
B  0.5751  0.6662  0.8745  3 O 1.37-1.39
B  0.5751  0.8338  0.3745  3 O 1.37-1.39
O  0.1064  0.5184  0.3857  3 Mn 1.94-1.99
O  0.1064  0.9816  0.8857  3 Mn 1.94-1.99
O  0.3273  0.2345  0.4932  1 B 1.39
O  0.3273  0.2655  0.9932  1 B 1.39
O  0.3725  0.0217  0.6316  1 B 1.37
O  0.3725  0.4783  0.1316  1 B 1.37
O  0.4266  0.7424  0.7458  1 B 1.39
O  0.4266  0.7576  0.2458  1 B 1.39
O  0.5734  0.2424  0.7542  1 B 1.39
O  0.5734  0.2576  0.2542  1 B 1.39
O  0.6275  0.5217  0.8684  1 B 1.37
O  0.6275  0.9783  0.3684  1 B 1.37
O  0.6727  0.7345  0.0068  1 B 1.39
O  0.6727  0.7655  0.5068  1 B 1.39
O  0.8936  0.0184  0.1143  3 Mn 1.94-1.99
O  0.8936  0.4816  0.6143  3 Mn 1.94-1.99

Output
Formation energy without anion corrections (meV per atom): -1972
D(E_F) (states/eV per cell): 7.1
Spin magnetization (Bohr magnetons per cell): 12.00
E (eV per atom): -11.810

Material: MnB4O7
Method: DFT, SCAN
State: single point on PBEsol structure

a = 6.3682 Å, b = 6.3682 Å, c = 5.1871 Å
α = 90.00°, β = 90.00°, γ = 62.75°
With the nearest neighbours (Å) after each atom.
Sites, in units of the cell vectors:
Mn  0.2238  0.7762  0.7500  5 O 2.10-2.12
Mn  0.7762  0.2238  0.2500  5 O 2.10-2.12
B  0.0812  0.6804  0.2500  4 O 1.43-1.57
B  0.2937  0.2937  0.0000  4 O 1.44-1.56
B  0.2937  0.2937  0.5000  4 O 1.44-1.56
B  0.3196  0.9188  0.2500  4 O 1.43-1.57
B  0.6804  0.0812  0.7500  4 O 1.43-1.57
B  0.7063  0.7063  0.0000  4 O 1.44-1.56
B  0.7063  0.7063  0.5000  4 O 1.44-1.56
B  0.9188  0.3196  0.7500  4 O 1.43-1.57
O  0.0936  0.9064  0.2500  2 B 1.48
O  0.1889  0.5470  0.0225  2 B 1.43-1.44
O  0.1889  0.5470  0.4775  2 B 1.43-1.44
O  0.1908  0.2418  0.7500  3 B 1.56-1.57
O  0.2418  0.1908  0.2500  3 B 1.56-1.57
O  0.4530  0.8111  0.0225  2 B 1.43-1.44
O  0.4530  0.8111  0.4775  2 B 1.43-1.44
O  0.5470  0.1889  0.5225  2 B 1.43-1.44
O  0.5470  0.1889  0.9775  2 B 1.43-1.44
O  0.7582  0.8092  0.7500  3 B 1.56-1.57
O  0.8092  0.7582  0.2500  3 B 1.56-1.57
O  0.8111  0.4530  0.5225  2 B 1.43-1.44
O  0.8111  0.4530  0.9775  2 B 1.43-1.44
O  0.9064  0.0936  0.7500  2 B 1.48

Output
Formation energy without anion corrections (meV per atom): -2534
D(E_F) (states/eV per cell): 0.0
Spin magnetization (Bohr magnetons per cell): 10.00
Energy above the most stable polymorph in this dataset (eV/atom): 0.022
E (eV per atom): -10.167

Material: MnB4O7
Method: DFT, SCAN
State: single point on PBEsol structure

a = 8.1026 Å, b = 8.6454 Å, c = 14.0362 Å
α = 90.00°, β = 90.00°, γ = 90.00°
With the nearest neighbours (Å) after each atom.
Sites, in units of the cell vectors:
Mn  0.1173  0.1080  0.1133  4 O 2.06-2.13
Mn  0.1173  0.3920  0.6133  4 O 2.06-2.13
Mn  0.3827  0.6080  0.1133  4 O 2.06-2.13
Mn  0.3827  0.8920  0.6133  4 O 2.06-2.13
Mn  0.6173  0.1080  0.3867  4 O 2.06-2.13
Mn  0.6173  0.3920  0.8867  4 O 2.06-2.13
Mn  0.8827  0.6080  0.3867  4 O 2.06-2.13
Mn  0.8827  0.8920  0.8867  4 O 2.06-2.13
B  0.0101  0.5684  0.1633  4 O 1.44-1.54
B  0.0101  0.9316  0.6633  4 O 1.44-1.54
B  0.0337  0.1681  0.7654  3 O 1.35-1.39
B  0.0337  0.3319  0.2654  3 O 1.35-1.39
B  0.0634  0.7073  0.5667  4 O 1.44-1.50
B  0.0634  0.7927  0.0667  4 O 1.44-1.50
B  0.1859  0.1343  0.4635  3 O 1.35-1.39
B  0.1859  0.3657  0.9635  3 O 1.35-1.39
B  0.3141  0.6343  0.4635  3 O 1.35-1.39
B  0.3141  0.8657  0.9635  3 O 1.35-1.39
B  0.4366  0.2073  0.5667  4 O 1.44-1.50
B  0.4366  0.2927  0.0667  4 O 1.44-1.50
B  0.4663  0.6681  0.7654  3 O 1.35-1.39
B  0.4663  0.8319  0.2654  3 O 1.35-1.39
B  0.4899  0.0684  0.1633  4 O 1.44-1.54
B  0.4899  0.4316  0.6633  4 O 1.44-1.54
B  0.5101  0.5684  0.3367  4 O 1.44-1.54
B  0.5101  0.9316  0.8367  4 O 1.44-1.54
B  0.5337  0.1681  0.7346  3 O 1.35-1.39
B  0.5337  0.3319  0.2346  3 O 1.35-1.39
B  0.5634  0.7073  0.9333  4 O 1.44-1.50
B  0.5634  0.7927  0.4333  4 O 1.44-1.50
B  0.6859  0.1343  0.0365  3 O 1.35-1.39
B  0.6859  0.3657  0.5365  3 O 1.35-1.39
B  0.8141  0.6343  0.0365  3 O 1.35-1.39
B  0.8141  0.8657  0.5365  3 O 1.35-1.39
B  0.9366  0.2073  0.9333  4 O 1.44-1.50
B  0.9366  0.2927  0.4333  4 O 1.44-1.50
B  0.9663  0.6681  0.7346  3 O 1.35-1.39
B  0.9663  0.8319  0.2346  3 O 1.35-1.39
B  0.9899  0.0684  0.3367  4 O 1.44-1.54
B  0.9899  0.4316  0.8367  4 O 1.44-1.54
O  0.0122  0.6064  0.6479  2 B 1.38-1.49
O  0.0122  0.8936  0.1479  2 B 1.38-1.49
O  0.0335  0.1730  0.2518  2 B 1.39-1.54
O  0.0335  0.3270  0.7518  2 B 1.39-1.54
O  0.0804  0.0769  0.6919  2 B 1.35-1.44
O  0.0804  0.4231  0.1919  2 B 1.35-1.44
O  0.0847  0.2443  0.9926  2 B 1.39-1.50
O  0.0847  0.2557  0.4926  2 B 1.39-1.50
O  0.1337  0.6519  0.1050  2 B 1.45-1.48
O  0.1337  0.8481  0.6050  2 B 1.45-1.48
O  0.1420  0.0435  0.3896  2 B 1.35-1.45
O  0.1420  0.4565  0.8896  2 B 1.35-1.45
O  0.1667  0.6078  0.5094  2 B 1.38-1.44
O  0.1667  0.8922  0.0094  2 B 1.38-1.44
O  0.3333  0.1078  0.5094  2 B 1.38-1.44
O  0.3333  0.3922  0.0094  2 B 1.38-1.44
O  0.3580  0.5435  0.3896  2 B 1.35-1.45
O  0.3580  0.9565  0.8896  2 B 1.35-1.45
O  0.3663  0.1519  0.1050  2 B 1.45-1.48
O  0.3663  0.3481  0.6050  2 B 1.45-1.48
O  0.4153  0.7443  0.9926  2 B 1.39-1.50
O  0.4153  0.7557  0.4926  2 B 1.39-1.50
O  0.4196  0.5769  0.6919  2 B 1.35-1.44
O  0.4196  0.9231  0.1919  2 B 1.35-1.44
O  0.4665  0.6730  0.2518  2 B 1.39-1.54
O  0.4665  0.8270  0.7518  2 B 1.39-1.54
O  0.4878  0.1064  0.6479  2 B 1.38-1.49
O  0.4878  0.3936  0.1479  2 B 1.38-1.49
O  0.5122  0.6064  0.8521  2 B 1.38-1.49
O  0.5122  0.8936  0.3521  2 B 1.38-1.49
O  0.5335  0.1730  0.2482  2 B 1.39-1.54
O  0.5335  0.3270  0.7482  2 B 1.39-1.54
O  0.5804  0.0769  0.8081  2 B 1.35-1.44
O  0.5804  0.4231  0.3081  2 B 1.35-1.44
O  0.5847  0.2443  0.5074  2 B 1.39-1.50
O  0.5847  0.2557  0.0074  2 B 1.39-1.50
O  0.6337  0.6519  0.3950  2 B 1.45-1.48
O  0.6337  0.8481  0.8950  2 B 1.45-1.48
O  0.6420  0.0435  0.1104  2 B 1.35-1.45
O  0.6420  0.4565  0.6104  2 B 1.35-1.45
O  0.6667  0.6078  0.9906  2 B 1.38-1.44
O  0.6667  0.8922  0.4906  2 B 1.38-1.44
O  0.8333  0.1078  0.9906  2 B 1.38-1.44
O  0.8333  0.3922  0.4906  2 B 1.38-1.44
O  0.8580  0.5435  0.1104  2 B 1.35-1.45
O  0.8580  0.9565  0.6104  2 B 1.35-1.45
O  0.8663  0.1519  0.3950  2 B 1.45-1.48
O  0.8663  0.3481  0.8950  2 B 1.45-1.48
O  0.9153  0.7443  0.5074  2 B 1.39-1.50
O  0.9153  0.7557  0.0074  2 B 1.39-1.50
O  0.9196  0.5769  0.8081  2 B 1.35-1.44
O  0.9196  0.9231  0.3081  2 B 1.35-1.44
O  0.9665  0.6730  0.2482  2 B 1.39-1.54
O  0.9665  0.8270  0.7482  2 B 1.39-1.54
O  0.9878  0.1064  0.8521  2 B 1.38-1.49
O  0.9878  0.3936  0.3521  2 B 1.38-1.49

Output
Formation energy without anion corrections (meV per atom): -2556
D(E_F) (states/eV per cell): 0.0
Spin magnetization (Bohr magnetons per cell): 40.00
Energy above the most stable polymorph in this dataset (eV/atom): 0.000
E (eV per atom): -10.189